# AgPPb2 | the Alexandria database | PBE-GGA | relaxed
# Uncorrected energy, eV/atom: -3.760
# ρ, g/cm³: 9.00
# Formation enthalpy at 0 K, kJ/mol of formula units: 62
# DOS(E_F), states/eV/atom: 0.335
data_AgPPb2
_cell_length_a 3.971
_cell_length_b 3.971
_cell_length_c 7.824
_cell_angle_alpha 75.47
_cell_angle_beta 75.47
_cell_angle_gamma 59.79
_space_group_name_H-M_alt 'P 1'
_space_group_IT_number 1
loop_
_space_group_symop_operation_xyz
'x,y,z'
loop_
_atom_site_label
_atom_site_fract_x
_atom_site_fract_y
_atom_site_fract_z
_atom_site_occupancy
Pb1 0.993 0.993 0.020 1
Pb2 0.507 0.507 0.480 1
Ag1 0.750 0.750 0.750 1
P1 0.250 0.250 0.250 1


# Li2CaCdAg4 | the Alexandria database | PBE-GGA | relaxed
# Uncorrected energy, eV/atom: -2.438
# ρ, g/cm³: 6.25
# Formation enthalpy at 0 K, kJ/mol of formula units: -131
# DOS(E_F), states/eV/atom: 0.330
data_Li2CaCdAg4
_cell_length_a 4.757
_cell_length_b 4.757
_cell_length_c 8.564
_cell_angle_alpha 73.87
_cell_angle_beta 73.87
_cell_angle_gamma 60.00
_space_group_name_H-M_alt 'P 1'
_space_group_IT_number 1
loop_
_space_group_symop_operation_xyz
'x,y,z'
loop_
_atom_site_label
_atom_site_fract_x
_atom_site_fract_y
_atom_site_fract_z
_atom_site_occupancy
Cd1 0.500 0.500 0.500 1
Ag1 0.128 0.128 0.617 1
Ag2 0.385 0.385 0.844 1
Ag3 0.872 0.872 0.383 1
Ag4 0.615 0.615 0.156 1
Ca1 0.000 0.000 0.000 1
Li1 0.756 0.756 0.733 1
Li2 0.244 0.244 0.267 1


# NdMgPtAu | the Alexandria database | PBE-GGA | relaxed
# Uncorrected energy, eV/atom: -4.722
# ρ, g/cm³: 10.87
# Formation enthalpy at 0 K, kJ/mol of formula units: -309
# DOS(E_F), states/eV/atom: 0.690
data_NdMgPtAu
_cell_length_a 4.947
_cell_length_b 4.947
_cell_length_c 4.947
_cell_angle_alpha 60.00
_cell_angle_beta 60.00
_cell_angle_gamma 60.00
_space_group_name_H-M_alt 'P 1'
_space_group_IT_number 1
loop_
_space_group_symop_operation_xyz
'x,y,z'
loop_
_atom_site_label
_atom_site_fract_x
_atom_site_fract_y
_atom_site_fract_z
_atom_site_occupancy
Mg1 0.000 0.000 0.000 1
Au1 0.250 0.250 0.250 1
Nd1 0.500 0.500 0.500 1
Pt1 0.750 0.750 0.750 1


# Sb3Rh | the Alexandria database | PBE-GGA | relaxed
# Uncorrected energy, eV/atom: -4.660
# E above lowest polymorph, meV per atom: 674
# ρ, g/cm³: 8.56
# DOS(E_F), states/eV/atom: 0.694
# Energy relative to the elements, uncorrected, kJ per mole of atoms: 26
data_Sb3Rh
_cell_length_a 5.079
_cell_length_b 5.079
_cell_length_c 3.520
_cell_angle_alpha 90.00
_cell_angle_beta 90.00
_cell_angle_gamma 90.00
_space_group_name_H-M_alt 'P 1'
_space_group_IT_number 1
loop_
_space_group_symop_operation_xyz
'x,y,z'
loop_
_atom_site_label
_atom_site_fract_x
_atom_site_fract_y
_atom_site_fract_z
_atom_site_occupancy
Sb1 0.000 0.500 0.500 1
Sb2 0.500 0.000 0.500 1
Sb3 0.500 0.500 0.000 1
Rh1 0.000 0.000 0.000 1


# CdPtAuO5 | the Alexandria database | PBE-GGA | relaxed
# Uncorrected energy, eV/atom: -4.764
# ρ, g/cm³: 9.42
# DOS(E_F), states/eV/atom: 0.580
# Energy relative to the elements, uncorrected, kJ per mole of atoms: -37
data_CdPtAuO5
_cell_length_a 6.273
_cell_length_b 6.273
_cell_length_c 7.237
_cell_angle_alpha 115.31
_cell_angle_beta 115.31
_cell_angle_gamma 101.36
_space_group_name_H-M_alt 'P 1'
_space_group_IT_number 1
loop_
_space_group_symop_operation_xyz
'x,y,z'
loop_
_atom_site_label
_atom_site_fract_x
_atom_site_fract_y
_atom_site_fract_z
_atom_site_occupancy
O1 0.917 0.083 0.750 1
O2 0.077 0.687 0.865 1
O3 0.923 0.313 0.135 1
O4 0.641 0.682 0.745 1
O5 0.359 0.318 0.255 1
O6 0.083 0.917 0.250 1
O7 0.682 0.641 0.245 1
O8 0.313 0.923 0.635 1
O9 0.687 0.077 0.365 1
O10 0.318 0.359 0.755 1
Au1 0.322 0.678 0.750 1
Au2 0.678 0.322 0.250 1
Pt1 0.000 0.000 0.500 1
Pt2 0.000 0.000 0.000 1
Cd1 0.678 0.322 0.750 1
Cd2 0.322 0.678 0.250 1


# Ta2BeCr | the Alexandria database | PBE-GGA | relaxed
# Uncorrected energy, eV/atom: -9.084
# ρ, g/cm³: 12.16
# Formation enthalpy at 0 K, kJ/mol of formula units: 70
# DOS(E_F), states/eV/atom: 1.017
data_Ta2BeCr
_cell_length_a 2.760
_cell_length_b 2.760
_cell_length_c 7.801
_cell_angle_alpha 90.00
_cell_angle_beta 90.00
_cell_angle_gamma 103.63
_space_group_name_H-M_alt 'P 1'
_space_group_IT_number 1
loop_
_space_group_symop_operation_xyz
'x,y,z'
loop_
_atom_site_label
_atom_site_fract_x
_atom_site_fract_y
_atom_site_fract_z
_atom_site_occupancy
Ta1 0.000 0.000 0.014 1
Ta2 0.000 0.000 0.486 1
Be1 0.500 0.500 0.250 1
Cr1 0.500 0.500 0.750 1


# TmZrPd2 | the Alexandria database | PBE-GGA | relaxed
# Uncorrected energy, eV/atom: -6.593
# ρ, g/cm³: 9.96
# Formation enthalpy at 0 K, kJ/mol of formula units: -286
# DOS(E_F), states/eV/atom: 0.636
data_TmZrPd2
_cell_length_a 3.236
_cell_length_b 4.935
_cell_length_c 4.935
_cell_angle_alpha 90.00
_cell_angle_beta 90.00
_cell_angle_gamma 90.00
_space_group_name_H-M_alt 'P 1'
_space_group_IT_number 1
loop_
_space_group_symop_operation_xyz
'x,y,z'
loop_
_atom_site_label
_atom_site_fract_x
_atom_site_fract_y
_atom_site_fract_z
_atom_site_occupancy
Pd1 0.000 0.500 0.000 1
Pd2 0.000 0.000 0.500 1
Tm1 0.500 0.500 0.500 1
Zr1 0.500 0.000 0.000 1


# Tb7Al2Ga2 | the Alexandria database | PBE-GGA | relaxed
# Uncorrected energy, eV/atom: -4.264
# ρ, g/cm³: 6.94
# Formation enthalpy at 0 K, kJ/mol of formula units: -92
# DOS(E_F), states/eV/atom: 1.212
data_Tb7Al2Ga2
_cell_length_a 6.596
_cell_length_b 7.720
_cell_length_c 6.596
_cell_angle_alpha 90.00
_cell_angle_beta 111.61
_cell_angle_gamma 90.00
_space_group_name_H-M_alt 'P 1'
_space_group_IT_number 1
loop_
_space_group_symop_operation_xyz
'x,y,z'
loop_
_atom_site_label
_atom_site_fract_x
_atom_site_fract_y
_atom_site_fract_z
_atom_site_occupancy
Tb1 0.000 0.710 0.500 1
Tb2 0.500 0.263 0.500 1
Tb3 0.500 0.290 0.000 1
Tb4 0.000 0.290 0.500 1
Tb5 0.000 0.000 0.000 1
Tb6 0.500 0.737 0.500 1
Tb7 0.500 0.710 0.000 1
Ga1 0.828 0.500 0.828 1
Ga2 0.172 0.500 0.172 1
Al1 0.291 0.000 0.709 1
Al2 0.709 0.000 0.291 1


# Al2SiNi | the Alexandria database | PBE-GGA | relaxed
# Uncorrected energy, eV/atom: -4.857
# E above lowest polymorph, meV per atom: 129
# ρ, g/cm³: 4.08
# DOS(E_F), states/eV/atom: 0.290
# Energy relative to the elements, uncorrected, kJ per mole of atoms: -18
data_Al2SiNi
_cell_length_a 4.638
_cell_length_b 4.638
_cell_length_c 7.491
_cell_angle_alpha 90.00
_cell_angle_beta 90.00
_cell_angle_gamma 134.69
_space_group_name_H-M_alt 'P 1'
_space_group_IT_number 1
loop_
_space_group_symop_operation_xyz
'x,y,z'
loop_
_atom_site_label
_atom_site_fract_x
_atom_site_fract_y
_atom_site_fract_z
_atom_site_occupancy
Al1 0.143 0.857 0.443 1
Al2 0.857 0.143 0.557 1
Al3 0.143 0.857 0.057 1
Al4 0.857 0.143 0.943 1
Ni1 0.249 0.751 0.750 1
Ni2 0.751 0.249 0.250 1
Si1 0.541 0.459 0.750 1
Si2 0.459 0.541 0.250 1


# ScTlAsF2 | the Alexandria database | PBE-GGA | relaxed
# Uncorrected energy, eV/atom: -5.580
# ρ, g/cm³: 6.18
# DOS(E_F), states/eV/atom: 0.108
# Energy relative to the elements, uncorrected, kJ per mole of atoms: -209
data_ScTlAsF2
_cell_length_a 4.158
_cell_length_b 4.158
_cell_length_c 5.629
_cell_angle_alpha 90.00
_cell_angle_beta 90.00
_cell_angle_gamma 90.00
_space_group_name_H-M_alt 'P 1'
_space_group_IT_number 1
loop_
_space_group_symop_operation_xyz
'x,y,z'
loop_
_atom_site_label
_atom_site_fract_x
_atom_site_fract_y
_atom_site_fract_z
_atom_site_occupancy
F1 0.500 0.000 0.000 1
F2 0.000 0.500 0.000 1
Tl1 0.500 0.500 0.500 1
Sc1 0.000 0.000 0.000 1
As1 0.000 0.000 0.500 1


# HCl3F | the Alexandria database | PBE-GGA | relaxed
# Uncorrected energy, eV/atom: -1.448
# E above lowest polymorph, meV per atom: 1048
# ρ, g/cm³: 2.79
# DOS(E_F), states/eV/atom: 1.271
data_HCl3F
_cell_length_a 4.219
_cell_length_b 4.219
_cell_length_c 4.219
_cell_angle_alpha 90.00
_cell_angle_beta 90.00
_cell_angle_gamma 90.00
_space_group_name_H-M_alt 'P 1'
_space_group_IT_number 1
loop_
_space_group_symop_operation_xyz
'x,y,z'
loop_
_atom_site_label
_atom_site_fract_x
_atom_site_fract_y
_atom_site_fract_z
_atom_site_occupancy
Cl1 0.000 0.500 0.000 1
Cl2 0.500 0.000 0.000 1
Cl3 0.000 0.000 0.500 1
F1 0.500 0.500 0.500 1
H1 0.000 0.000 0.000 1


# ThSbTe | the Alexandria database | PBE-GGA | relaxed
# Uncorrected energy, eV/atom: -5.937
# ρ, g/cm³: 8.83
# DOS(E_F), states/eV/atom: 0.327
# Energy relative to the elements, uncorrected, kJ per mole of atoms: -101
data_ThSbTe
_cell_length_a 4.444
_cell_length_b 4.444
_cell_length_c 9.171
_cell_angle_alpha 90.00
_cell_angle_beta 90.00
_cell_angle_gamma 90.00
_space_group_name_H-M_alt 'P 1'
_space_group_IT_number 1
loop_
_space_group_symop_operation_xyz
'x,y,z'
loop_
_atom_site_label
_atom_site_fract_x
_atom_site_fract_y
_atom_site_fract_z
_atom_site_occupancy
Te1 0.000 0.500 0.369 1
Te2 0.500 0.000 0.631 1
Sb1 0.000 0.000 0.000 1
Sb2 0.500 0.500 0.000 1
Th1 0.500 0.000 0.265 1
Th2 0.000 0.500 0.735 1


# LiCa2AlCu6 | the Alexandria database | PBE-GGA | relaxed
# Uncorrected energy, eV/atom: -3.494
# ρ, g/cm³: 4.46
# Formation enthalpy at 0 K, kJ/mol of formula units: -68
# DOS(E_F), states/eV/atom: 0.346
data_LiCa2AlCu6
_cell_length_a 4.972
_cell_length_b 8.504
_cell_length_c 6.476
_cell_angle_alpha 50.77
_cell_angle_beta 67.44
_cell_angle_gamma 89.99
_space_group_name_H-M_alt 'P 1'
_space_group_IT_number 1
loop_
_space_group_symop_operation_xyz
'x,y,z'
loop_
_atom_site_label
_atom_site_fract_x
_atom_site_fract_y
_atom_site_fract_z
_atom_site_occupancy
Cu1 0.765 0.770 0.966 1
Cu2 0.269 0.770 0.967 1
Cu3 0.235 0.230 0.034 1
Cu4 0.751 0.927 0.498 1
Cu5 0.249 0.073 0.502 1
Cu6 0.731 0.230 0.033 1
Ca1 0.248 0.697 0.505 1
Ca2 0.752 0.303 0.495 1
Li1 0.500 0.500 0.000 1
Al1 0.000 0.000 0.000 1